A plane-wave DFT calculation with GGA-PBE was carried out for CaPaTcO6 after structural relaxation. Values from VASP.

The structure in Quantum ESPRESSO input format:
```
&SYSTEM
  ibrav = 0, nat = 18, ntyp = 4
/
ATOMIC_SPECIES
O 16.00 O.upf
Pa 231.04 Pa.upf
Tc 98.00 Tc.upf
Ca 40.08 Ca.upf
CELL_PARAMETERS angstrom
-2.804 -3.891 2.815
0.540 -0.408 -5.520
8.261 -5.097 1.185
ATOMIC_POSITIONS angstrom
O 1.152 -4.387 2.124
O -0.334 -3.514 -1.459
O 5.867 -7.222 -2.591
O 7.383 -4.749 -2.516
O 2.114 -3.423 -0.438
O 0.129 -2.174 1.072
O 0.578 -5.880 -0.297
O 4.845 -5.010 -3.643
O 5.419 -3.516 -1.223
O 3.882 -5.973 -1.081
O 6.331 -5.882 -0.060
O -1.386 -4.647 0.996
Pa 4.506 -6.553 0.926
Pa 1.491 -2.843 -2.445
Tc 0.376 -4.004 0.333
Tc 5.621 -5.392 -1.853
Ca 4.131 -2.549 0.593
Ca 0.000 0.000 0.000
```

E_tot = -8.324 eV/atom
formation energy without anion corrections = -2.59 eV per atom

A plane-wave DFT calculation with GGA-PBE was carried out for K3C after structural relaxation. Values from VASP.

The structure in Quantum ESPRESSO input format:
```
&SYSTEM
  ibrav = 0, nat = 4, ntyp = 2
/
ATOMIC_SPECIES
C 12.01 C.upf
K 39.10 K.upf
CELL_PARAMETERS angstrom
-1.561 -3.563 0.672
2.247 -0.308 3.230
-8.146 4.723 6.117
ATOMIC_POSITIONS angstrom
C 0.000 0.000 0.000
K -0.806 -1.269 2.814
K -4.073 2.361 3.059
K -6.653 2.121 7.205
```

E_tot = -1.985 eV/atom
energy above the most stable polymorph in this dataset = 96 meV/atom
energy relative to the elements = 1.144 eV per atom

A plane-wave DFT calculation with GGA-PBE was carried out for Ho2AlCd after structural relaxation. Values from VASP.

The structure in Quantum ESPRESSO input format:
```
&SYSTEM
  ibrav = 0, nat = 4, ntyp = 3
/
ATOMIC_SPECIES
Al 26.98 Al.upf
Cd 112.41 Cd.upf
Ho 164.93 Ho.upf
CELL_PARAMETERS angstrom
5.176 0.000 0.000
2.588 4.483 0.000
2.588 1.494 4.226
ATOMIC_POSITIONS angstrom
Al 2.588 1.494 1.057
Cd 7.765 4.483 3.170
Ho 5.176 2.989 2.113
Ho 0.000 0.000 0.000
```

E_tot = -3.807 eV/atom
energy relative to the elements = -0.354 eV per atom

A plane-wave DFT calculation with GGA-PBE was carried out for RuI after structural relaxation. Values from VASP.

The structure in Quantum ESPRESSO input format:
```
&SYSTEM
  ibrav = 0, nat = 12, ntyp = 2
/
ATOMIC_SPECIES
Ru 101.07 Ru.upf
I 126.90 I.upf
CELL_PARAMETERS angstrom
11.871 0.000 0.000
0.000 4.576 0.000
0.000 0.000 5.104
ATOMIC_POSITIONS angstrom
Ru 5.935 3.688 5.081
Ru 9.533 1.735 3.625
Ru 0.000 0.888 2.529
Ru 3.598 2.841 1.073
Ru 2.338 1.735 3.625
Ru 8.273 2.841 1.073
I 5.935 1.388 1.090
I 2.065 0.699 0.951
I 3.870 3.876 3.503
I 8.001 3.876 3.503
I 0.000 3.187 3.641
I 9.806 0.699 0.951
```

E_tot = -4.785 eV/atom
energy above the most stable polymorph in this dataset = 396 meV/atom
formation energy without anion corrections = 0.63 eV per atom

A plane-wave DFT calculation with GGA-PBE was carried out for U3Ta2NbC6 after structural relaxation. Values from VASP.

The structure in Quantum ESPRESSO input format:
```
&SYSTEM
  ibrav = 0, nat = 12, ntyp = 4
/
ATOMIC_SPECIES
C 12.01 C.upf
U 238.03 U.upf
Ta 180.95 Ta.upf
Nb 92.91 Nb.upf
CELL_PARAMETERS angstrom
-0.162 5.593 -0.724
-4.804 -2.929 0.415
1.697 -0.166 5.677
ATOMIC_POSITIONS angstrom
C -3.287 1.931 1.055
C -1.662 3.319 3.964
C -1.607 -0.821 1.404
C -3.223 0.453 4.347
C -0.046 2.045 1.022
C 0.017 0.567 4.313
U -1.635 1.249 2.684
U -0.084 4.095 2.304
U -3.185 -1.597 3.064
Ta -1.709 2.753 -0.344
Ta -3.258 -0.089 0.035
Nb 0.000 0.000 0.000
```

E_tot = -10.715 eV/atom
energy relative to the elements = -0.466 eV per atom

A plane-wave DFT calculation with GGA-PBE was carried out for NbZnFe2H after structural relaxation. Values from VASP.

The structure in Quantum ESPRESSO input format:
```
&SYSTEM
  ibrav = 0, nat = 5, ntyp = 4
/
ATOMIC_SPECIES
Zn 65.41 Zn.upf
Fe 55.84 Fe.upf
Nb 92.91 Nb.upf
H 1.01 H.upf
CELL_PARAMETERS angstrom
3.785 0.000 0.000
0.000 3.785 0.000
0.000 0.000 3.974
ATOMIC_POSITIONS angstrom
Zn 1.892 1.892 1.987
Fe 1.892 0.000 0.000
Fe 0.000 1.892 0.000
Nb 0.000 0.000 1.987
H 0.000 0.000 0.000
```

E_tot = -6.275 eV/atom

A plane-wave DFT calculation with GGA-PBE was carried out for Dy3Tm8Zr after structural relaxation. Values from VASP.

The structure in Quantum ESPRESSO input format:
```
&SYSTEM
  ibrav = 0, nat = 12, ntyp = 3
/
ATOMIC_SPECIES
Zr 91.22 Zr.upf
Tm 168.93 Tm.upf
Dy 162.50 Dy.upf
CELL_PARAMETERS angstrom
6.577 0.000 -3.720
-2.105 6.231 -3.721
0.799 1.113 9.086
ATOMIC_POSITIONS angstrom
Zr 0.000 0.000 0.000
Tm 1.802 2.511 -0.500
Tm 4.563 1.596 4.079
Tm 5.220 2.511 -2.433
Tm 3.469 4.833 2.146
Tm 0.709 5.749 -2.433
Tm 1.145 1.596 6.012
Tm 0.052 4.833 4.079
Tm 4.126 5.749 -4.367
Dy 0.465 5.230 0.823
Dy 2.236 3.116 -3.720
Dy 4.806 2.114 0.823
```

E_tot = -4.104 eV/atom
energy relative to the elements = 0.740 eV per atom

A plane-wave DFT calculation with GGA-PBE was carried out for Er2CdP after structural relaxation. Values from VASP.

The structure in Quantum ESPRESSO input format:
```
&SYSTEM
  ibrav = 0, nat = 4, ntyp = 3
/
ATOMIC_SPECIES
Er 167.26 Er.upf
Cd 112.41 Cd.upf
P 30.97 P.upf
CELL_PARAMETERS angstrom
-0.729 3.738 -0.495
-1.410 1.255 -3.344
-8.079 0.586 1.423
ATOMIC_POSITIONS angstrom
Er -2.198 1.447 -0.735
Er -8.020 4.132 -1.682
Cd -5.109 2.789 -1.208
P 0.000 0.000 0.000
```

E_tot = -4.740 eV/atom
energy relative to the elements = -0.877 eV per atom

A plane-wave DFT calculation with GGA-PBE was carried out for Ca3Zn8Pb after structural relaxation. Values from VASP.

The structure in Quantum ESPRESSO input format:
```
&SYSTEM
  ibrav = 0, nat = 12, ntyp = 3
/
ATOMIC_SPECIES
Zn 65.41 Zn.upf
Ca 40.08 Ca.upf
Pb 207.20 Pb.upf
CELL_PARAMETERS angstrom
-3.832 1.572 3.725
-5.151 1.296 -1.681
-5.517 -7.700 1.740
ATOMIC_POSITIONS angstrom
Zn -7.524 0.516 0.373
Zn -11.354 -5.268 3.039
Zn -4.097 -2.826 1.144
Zn -9.635 -3.284 3.971
Zn -4.947 -0.132 1.213
Zn -12.242 -2.629 3.120
Zn -6.864 0.654 3.077
Zn -10.302 -3.424 1.235
Ca -7.238 -2.375 1.887
Ca -8.194 -5.654 2.288
Ca -9.002 2.804 2.052
Pb -9.944 -0.430 2.448
```

E_tot = -1.872 eV/atom
energy relative to the elements = -0.213 eV per atom

A plane-wave DFT calculation with GGA-PBE was carried out for CrFe2Ir after structural relaxation. Values from VASP.

The structure in Quantum ESPRESSO input format:
```
&SYSTEM
  ibrav = 0, nat = 4, ntyp = 3
/
ATOMIC_SPECIES
Cr 52.00 Cr.upf
Fe 55.84 Fe.upf
Ir 192.22 Ir.upf
CELL_PARAMETERS angstrom
4.397 0.001 0.005
3.633 2.477 0.005
0.803 0.248 4.351
ATOMIC_POSITIONS angstrom
Cr 2.208 0.681 1.090
Fe 4.423 1.365 2.107
Fe 8.024 2.476 0.085
Ir 6.625 2.044 3.271
```

E_tot = -8.792 eV/atom
energy relative to the elements = 0.060 eV per atom

A plane-wave DFT calculation with GGA-PBE was carried out for Na4Pr3PbO8 after structural relaxation. Values from VASP.

The structure in Quantum ESPRESSO input format:
```
&SYSTEM
  ibrav = 0, nat = 16, ntyp = 4
/
ATOMIC_SPECIES
O 16.00 O.upf
Na 22.99 Na.upf
Pb 207.20 Pb.upf
Pr 140.91 Pr.upf
CELL_PARAMETERS angstrom
-3.672 3.457 -5.129
-2.818 -6.107 -2.099
-0.522 2.125 6.850
ATOMIC_POSITIONS angstrom
O -2.036 0.276 1.643
O -3.185 -2.555 0.558
O -3.567 0.973 -4.341
O -1.742 -0.745 -1.792
O -4.976 -0.801 -2.021
O -3.827 2.030 -0.936
O -3.445 -1.498 3.964
O -5.270 0.220 1.414
Na -2.097 2.791 0.860
Na 0.000 0.000 0.000
Na -0.261 1.062 3.425
Na -1.836 1.729 -2.564
Pb -1.409 -3.053 -1.049
Pr -3.506 -0.263 -0.189
Pr -1.670 -1.991 2.376
Pr -3.245 -1.325 -3.614
```

E_tot = -6.142 eV/atom
formation energy without anion corrections = -2.21 eV per atom

A plane-wave DFT calculation with GGA-PBE was carried out for Tb4Tm2Tl3H2 after structural relaxation. Values from VASP.

The structure in Quantum ESPRESSO input format:
```
&SYSTEM
  ibrav = 0, nat = 11, ntyp = 4
/
ATOMIC_SPECIES
Tl 204.38 Tl.upf
Tb 158.93 Tb.upf
H 1.01 H.upf
Tm 168.93 Tm.upf
CELL_PARAMETERS angstrom
-4.654 0.310 -0.752
-0.802 -2.464 3.950
2.382 11.519 4.842
ATOMIC_POSITIONS angstrom
Tl -0.122 3.672 2.265
Tl 0.000 0.000 0.000
Tl -2.952 5.693 5.776
Tb -0.460 0.560 3.081
Tb -2.386 1.947 0.729
Tb -0.687 7.418 7.311
Tb -2.613 8.805 4.960
H -0.273 8.259 5.095
H -2.800 1.106 2.946
Tm -0.208 6.298 3.885
Tm -2.865 3.067 4.155
```

E_tot = -4.009 eV/atom

A plane-wave DFT calculation with GGA-PBE was carried out for NdTm3Fe after structural relaxation. Values from VASP.

The structure in Quantum ESPRESSO input format:
```
&SYSTEM
  ibrav = 0, nat = 10, ntyp = 3
/
ATOMIC_SPECIES
Nd 144.24 Nd.upf
Fe 55.84 Fe.upf
Tm 168.93 Tm.upf
CELL_PARAMETERS angstrom
3.605 0.000 0.000
0.000 7.872 -4.713
0.000 -1.116 10.374
ATOMIC_POSITIONS angstrom
Nd 0.901 1.913 2.341
Nd 2.704 4.843 3.320
Fe 0.901 2.178 7.842
Fe 2.704 4.578 -2.181
Tm 2.704 2.269 5.592
Tm 0.901 -0.398 6.679
Tm 0.901 4.487 0.068
Tm 0.901 5.101 6.595
Tm 2.704 7.154 -1.019
Tm 2.704 1.655 -0.935
```

E_tot = -5.321 eV/atom
energy above the most stable polymorph in this dataset = 0 meV/atom
energy relative to the elements = 0.008 eV per atom

A plane-wave DFT calculation with GGA-PBE was carried out for LaDy2Tl after structural relaxation. Values from VASP.

The structure in Quantum ESPRESSO input format:
```
&SYSTEM
  ibrav = 0, nat = 8, ntyp = 3
/
ATOMIC_SPECIES
Dy 162.50 Dy.upf
Tl 204.38 Tl.upf
La 138.91 La.upf
CELL_PARAMETERS angstrom
3.488 0.000 0.000
0.000 5.710 1.532
0.000 2.413 13.898
ATOMIC_POSITIONS angstrom
Dy 0.872 4.486 11.900
Dy 2.616 3.636 3.530
Dy 2.616 1.273 0.939
Dy 0.872 6.849 14.491
Tl 2.616 2.800 6.676
Tl 0.872 5.322 8.754
La 0.872 2.062 9.509
La 2.616 6.060 5.921
```

E_tot = -4.022 eV/atom
energy above the most stable polymorph in this dataset = 284 meV/atom
energy relative to the elements = 0.103 eV per atom

A plane-wave DFT calculation with GGA-PBE was carried out for BaZnSe4 after structural relaxation. Values from VASP.

The structure in Quantum ESPRESSO input format:
```
&SYSTEM
  ibrav = 0, nat = 6, ntyp = 3
/
ATOMIC_SPECIES
Se 78.96 Se.upf
Zn 65.41 Zn.upf
Ba 137.33 Ba.upf
CELL_PARAMETERS angstrom
0.000 4.237 4.237
4.237 0.000 4.237
4.237 4.237 0.000
ATOMIC_POSITIONS angstrom
Se 5.285 5.285 3.189
Se 5.285 3.189 5.285
Se 3.189 5.285 5.285
Se 3.189 3.189 3.189
Zn 6.356 6.356 6.356
Ba 0.000 0.000 0.000
```

E_tot = -3.170 eV/atom
formation energy without anion corrections = -0.31 eV per atom

A plane-wave DFT calculation with GGA-PBE was carried out for ScMnW2 after structural relaxation. Values from VASP.

The structure in Quantum ESPRESSO input format:
```
&SYSTEM
  ibrav = 0, nat = 4, ntyp = 3
/
ATOMIC_SPECIES
Sc 44.96 Sc.upf
W 183.84 W.upf
Mn 54.94 Mn.upf
CELL_PARAMETERS angstrom
5.172 -0.001 0.003
2.189 4.686 -0.003
-3.142 -3.189 2.590
ATOMIC_POSITIONS angstrom
Sc 2.788 -0.467 1.297
W 0.086 0.055 0.000
W 1.435 1.965 1.293
Mn 3.591 2.286 0.000
```

E_tot = -10.122 eV/atom
energy above the most stable polymorph in this dataset = 140 meV/atom
energy relative to the elements = 0.230 eV per atom

A plane-wave DFT calculation with GGA-PBE was carried out for Ba6Li2PtAu after structural relaxation. Values from VASP.

The structure in Quantum ESPRESSO input format:
```
&SYSTEM
  ibrav = 0, nat = 20, ntyp = 4
/
ATOMIC_SPECIES
Ba 137.33 Ba.upf
Au 196.97 Au.upf
Pt 195.08 Pt.upf
Li 6.94 Li.upf
CELL_PARAMETERS angstrom
-4.998 -1.391 6.360
-5.075 -5.608 -5.215
6.973 -9.589 3.526
ATOMIC_POSITIONS angstrom
Ba -1.614 -14.768 4.433
Ba 1.318 -5.574 1.797
Ba -4.696 -4.739 -1.340
Ba -1.051 -7.920 4.613
Ba -5.383 -6.503 3.795
Ba 2.283 -10.085 0.876
Ba -1.381 -3.421 4.678
Ba -1.486 -1.820 0.238
Ba -1.719 -13.167 -0.007
Ba -4.418 -11.014 2.873
Ba 1.596 -11.849 6.011
Ba -2.049 -8.668 0.058
Au 0.949 -7.598 -0.844
Au -2.499 -0.696 3.180
Pt 0.987 -5.490 4.943
Pt -2.537 -2.804 -2.607
Li 0.024 -9.063 8.139
Li -2.508 -5.279 1.609
Li -0.592 -11.309 3.061
Li -3.124 -7.525 -3.468
```

E_tot = -2.799 eV/atom
energy relative to the elements = -0.331 eV per atom

A plane-wave DFT calculation with GGA-PBE was carried out for KLaBeIn2 after structural relaxation. Values from VASP.

The structure in Quantum ESPRESSO input format:
```
&SYSTEM
  ibrav = 0, nat = 5, ntyp = 4
/
ATOMIC_SPECIES
In 114.82 In.upf
La 138.91 La.upf
Be 9.01 Be.upf
K 39.10 K.upf
CELL_PARAMETERS angstrom
-3.131 3.050 -2.437
0.954 -2.735 -4.650
-3.805 -3.082 1.032
ATOMIC_POSITIONS angstrom
In -1.565 1.525 -1.218
In -1.903 -1.541 0.516
La -2.991 -1.383 -3.027
Be 0.000 0.000 0.000
K 0.477 -1.368 -2.325
```

E_tot = -2.793 eV/atom
energy relative to the elements = 0.253 eV per atom

A plane-wave DFT calculation with GGA-PBE was carried out for ZrTi2Be9 after structural relaxation. Values from VASP.

The structure in Quantum ESPRESSO input format:
```
&SYSTEM
  ibrav = 0, nat = 24, ntyp = 3
/
ATOMIC_SPECIES
Be 9.01 Be.upf
Ti 47.87 Ti.upf
Zr 91.22 Zr.upf
CELL_PARAMETERS angstrom
-0.491 -1.805 4.154
4.158 0.475 -1.800
1.017 13.066 5.796
ATOMIC_POSITIONS angstrom
Be 2.993 6.995 5.891
Be 1.439 1.505 0.824
Be 3.508 1.741 -0.072
Be 0.000 0.000 0.000
Be 3.760 4.978 1.364
Be 3.245 10.231 7.326
Be 1.176 9.995 8.222
Be 3.515 4.080 3.431
Be 0.254 3.266 1.449
Be 0.924 6.758 6.786
Be 3.263 0.843 1.995
Be 1.169 7.656 4.719
Be 0.509 6.533 2.898
Be 1.421 10.893 6.155
Be 1.821 8.755 6.517
Be 1.691 4.741 2.260
Be 0.763 9.799 4.347
Be 2.863 2.981 1.634
Ti 3.152 6.699 3.283
Ti 1.532 5.036 4.867
Ti 3.590 12.329 5.781
Ti 1.094 -0.593 2.370
Zr 3.371 9.514 4.532
Zr 1.313 2.222 3.618
```

E_tot = -5.053 eV/atom
energy relative to the elements = -0.230 eV per atom

A plane-wave DFT calculation with GGA-PBE was carried out for B2C after structural relaxation. Values from VASP.

The structure in Quantum ESPRESSO input format:
```
&SYSTEM
  ibrav = 0, nat = 12, ntyp = 2
/
ATOMIC_SPECIES
B 10.81 B.upf
C 12.01 C.upf
CELL_PARAMETERS angstrom
2.421 0.000 0.000
0.000 2.400 0.000
0.000 0.000 14.086
ATOMIC_POSITIONS angstrom
B 0.605 0.000 11.653
B 0.605 0.000 6.387
B 1.816 0.000 2.433
B 1.816 0.000 7.699
B 1.816 1.200 9.017
B 1.816 1.200 3.762
B 0.605 1.200 10.324
B 0.605 1.200 5.070
C 1.816 0.000 12.738
C 1.816 1.200 13.602
C 0.605 0.000 1.349
C 0.605 1.200 0.484
```

E_tot = -7.147 eV/atom
energy above the most stable polymorph in this dataset = 194 meV/atom
energy relative to the elements = 0.379 eV per atom